InCuAu2 (PBEsol, optimized geometry); DFT total energy = -15.39 eV/f.u.; spin magnetization = 0.0 μB/cell; energy of formation from the pure elements = -0.0571 eV/atom; space-group type = P4mm
1.0
-3.291 -0.212 0.872
0.781 -2.308 2.387
0.747 4.237 3.852
Au Cu In
2 1 1
Direct
0.000 0.000 0.000
0.500 0.500 0.274
0.000 0.000 0.481
0.500 0.500 0.745

---

InCu2Au (PBEsol, optimized geometry); DFT total energy = -15.66 eV/f.u.; spin magnetization = 0.0 μB/cell; energy of formation from the pure elements = -0.0219 eV/atom; space-group type = Pmmm
1.0
3.169 0.000 0.000
0.000 3.308 0.000
0.000 0.000 5.781
Cu In Au
2 1 1
Direct
0.000 0.000 0.737
0.000 0.000 0.263
0.500 0.500 0.000
0.500 0.500 0.500

---

InCu2Au (PBEsol, optimized geometry); DFT total energy = -15.81 eV/f.u.; spin magnetization = 0.0 μB/cell; energy of formation from the pure elements = -0.0587 eV/atom; space-group type = P4/mmm
1.0
3.576 0.000 0.000
0.000 4.097 0.032
0.000 -0.029 4.097
Cu Au In
2 1 1
Direct
0.000 0.000 0.500
0.000 0.500 0.000
0.500 0.500 0.500
0.500 0.000 0.000